1.
Density functional theory data (GGA-PBE) for a relaxed structure of CeTi3O6.

Unit cell a=3.0834 b=8.8119 c=8.5498 alpha=109.95 beta=90.00 gamma=90.00
Last column: nearest neighbours and their distance in Å.
Atoms (fractional coordinates):
1 Ce 0.2500 0.2919 0.9287  8 O 2.40-2.47
2 Ce 0.7500 0.7081 0.0713  8 O 2.40-2.47
3 Ti 0.2500 0.1581 0.5361  6 O 2.07-2.11
4 Ti 0.7500 0.8419 0.4639  6 O 2.07-2.11
5 Ti 0.2500 0.4910 0.3240  7 O 2.03-2.24
6 Ti 0.7500 0.5090 0.6760  7 O 2.03-2.24
7 Ti 0.2500 0.9044 0.8264  6 O 1.97-2.11
8 Ti 0.7500 0.0956 0.1736  6 O 1.97-2.11
9 O 0.2500 0.3885 0.5197  4 Ti 2.08-2.16
10 O 0.7500 0.6115 0.4803  4 Ti 2.08-2.16
11 O 0.2500 0.9251 0.0776  3 Ti 2.09-2.11
12 O 0.7500 0.0749 0.9224  3 Ti 2.09-2.11
13 O 0.2500 0.9658 0.6258  4 Ti 1.97-2.11
14 O 0.7500 0.0342 0.3742  4 Ti 1.97-2.11
15 O 0.2500 0.7366 0.3014  3 Ti 2.07-2.24
16 O 0.7500 0.2634 0.6986  3 Ti 2.07-2.24
17 O 0.2500 0.5336 0.8592  2 Ti 2.16, 1 Ce 2.40
18 O 0.7500 0.4664 0.1408  2 Ti 2.16, 1 Ce 2.40
19 O 0.2500 0.2496 0.1983  3 Ti 2.02-2.03
20 O 0.7500 0.7504 0.8017  3 Ti 2.02-2.03

Computed properties:
The total magnetization comes out at 2.5 μB/cell. As for the symmetry: P2_1/m (11). Its raw formation energy is -2.941 eV/atom.

2.
Density functional theory data (GGA-PBE) for a relaxed structure of Nd3Tm4Sc2.

Unit cell a=6.1641 b=8.3201 c=13.5434 alpha=86.35 beta=63.17 gamma=111.87
Last column: nearest neighbours and their distance in Å.
Atoms (fractional coordinates):
1 Nd 0.1161 0.9433 0.6910  6 Tm 3.46-3.67, 4 Sc 3.47-3.54, 2 Nd 3.53-3.54
2 Nd 0.4510 0.2804 0.0261  2 Nd 3.44-3.54, 3 Sc 3.46-3.62, 7 Tm 3.47-3.60
3 Nd 0.8839 0.0567 0.3090  6 Tm 3.46-3.67, 4 Sc 3.47-3.54, 2 Nd 3.53-3.54
4 Nd 0.5490 0.7196 0.9739  2 Nd 3.44-3.54, 3 Sc 3.46-3.62, 7 Tm 3.47-3.60
5 Nd 0.2209 0.3953 0.6395  3 Sc 3.44-3.64, 7 Tm 3.47-3.67, 2 Nd 3.48-3.53
6 Nd 0.7791 0.6047 0.3605  3 Sc 3.44-3.64, 7 Tm 3.47-3.67, 2 Nd 3.48-3.53
7 Tm 0.5485 0.0514 0.8053  2 Sc 3.41-3.51, 5 Tm 3.44-3.62, 5 Nd 3.47-3.62
8 Tm 0.0002 0.1725 0.9191  2 Sc 3.41-3.53, 5 Tm 3.44-3.62, 5 Nd 3.49-3.67
9 Tm 0.4515 0.9486 0.1947  2 Sc 3.41-3.51, 5 Tm 3.44-3.62, 5 Nd 3.47-3.62
10 Tm 0.9998 0.8275 0.0809  2 Sc 3.41-3.53, 5 Tm 3.44-3.62, 5 Nd 3.49-3.67
11 Tm 0.2163 0.7279 0.4732  3 Sc 3.40-3.61, 4 Tm 3.44-3.59, 5 Nd 3.46-3.67
12 Tm 0.3356 0.4995 0.2524  3 Sc 3.41-3.61, 4 Tm 3.44-3.59, 5 Nd 3.46-3.60
13 Tm 0.7837 0.2721 0.5268  3 Sc 3.40-3.61, 4 Tm 3.44-3.59, 5 Nd 3.46-3.67
14 Tm 0.6644 0.5005 0.7476  3 Sc 3.41-3.61, 4 Tm 3.44-3.59, 5 Nd 3.46-3.60
15 Sc 0.6680 0.8347 0.5860  5 Tm 3.40-3.61, 2 Sc 3.43-3.45, 5 Nd 3.44-3.64
16 Sc 0.8826 0.3889 0.1402  5 Tm 3.41-3.61, 2 Sc 3.43-3.48, 5 Nd 3.46-3.62
17 Sc 0.3320 0.1653 0.4140  5 Tm 3.40-3.61, 2 Sc 3.43-3.45, 5 Nd 3.44-3.64
18 Sc 0.1174 0.6111 0.8598  5 Tm 3.41-3.61, 2 Sc 3.43-3.48, 5 Nd 3.46-3.62

Computed properties:
The total magnetization comes out at 0.0 μB/cell. Its energy of formation is 0.035 eV/atom. As for the symmetry: P-1 (2).

3.
Density functional theory data (GGA-PBE) for a relaxed structure of CePa2Br8.

Unit cell a=7.8508 b=8.3253 c=8.3253 alpha=63.15 beta=71.17 gamma=71.17
Last column: nearest neighbours and their distance in Å.
Atoms (fractional coordinates):
1 Ce 0.0000 0.0000 0.0000  6 Br 2.96-3.00
2 Pa 0.5448 0.9056 0.9056  1 Pa 2.50, 1 Br 2.74
3 Pa 0.4552 0.0944 0.0944  1 Pa 2.50, 1 Br 2.74
4 Br 0.2497 0.2688 0.7932  2 Pa 2.97-3.12, 1 Ce 3.00
5 Br 0.7503 0.2068 0.7312  2 Pa 2.97-3.12, 1 Ce 3.00
6 Br 0.2945 0.7943 0.7943  1 Pa 2.95, 1 Ce 2.96
7 Br 0.7055 0.2057 0.2057  1 Pa 2.95, 1 Ce 2.96
8 Br 0.2497 0.7932 0.2688  2 Pa 2.97-3.12, 1 Ce 3.00
9 Br 0.7503 0.7312 0.2068  2 Pa 2.97-3.12, 1 Ce 3.00
10 Br 0.8116 0.7136 0.7136  1 Pa 2.74
11 Br 0.1884 0.2864 0.2864  1 Pa 2.74

Computed properties:
The total magnetization comes out at 1.9 μB/cell. As for the symmetry: C2/m (12). Its raw formation energy is -1.342 eV/atom.

4.
Density functional theory data (GGA-PBE) for a relaxed structure of TcMo2W.

Unit cell a=5.2346 b=5.2346 c=5.2346 alpha=144.98 beta=129.79 gamma=62.69
Last column: nearest neighbours and their distance in Å.
Atoms (fractional coordinates):
1 Mo 0.0050 0.0050 0.0000  2 W 2.70, 4 Mo 2.72, 2 Tc 2.77
2 Mo 0.4950 0.4950 0.0000  2 W 2.70, 4 Mo 2.72, 2 Tc 2.77
3 Tc 0.7500 0.2500 0.5000  4 W 2.72, 4 Mo 2.77
4 W 0.2500 0.7500 0.5000  4 Mo 2.70, 4 Tc 2.72

Computed properties:
The total magnetization comes out at 0.0 μB/cell. Its energy of formation is 0.021 eV/atom. As for the symmetry: Immm (71).

5.
Density functional theory data (GGA-PBE) for a relaxed structure of Hf2ZrAlFe.

Unit cell a=4.7223 b=4.5920 c=4.7223 alpha=90.00 beta=90.00 gamma=90.00
Last column: nearest neighbours and their distance in Å.
Atoms (fractional coordinates):
1 Hf 0.0000 0.0000 0.5000  2 Fe 2.36
2 Hf 0.5000 0.0000 0.0000  2 Fe 2.36
3 Fe 0.0000 0.0000 0.0000  2 Al 2.30, 4 Hf 2.36
4 Zr 0.5000 0.5000 0.5000  8 Hf 3.29, 4 Al 3.34
5 Al 0.0000 0.5000 0.0000  2 Fe 2.30

Computed properties:
The total magnetization comes out at 0.0 μB/cell. Its energy of formation is 0.152 eV/atom. As for the symmetry: P4/mmm (123).

6.
Density functional theory data (GGA-PBE) for a relaxed structure of AcSm4Cd5.

Unit cell a=3.8613 b=3.8613 c=19.3763 alpha=90.00 beta=90.00 gamma=90.00
Last column: nearest neighbours and their distance in Å.
Atoms (fractional coordinates):
1 Ac 0.0000 0.0000 0.0000  8 Cd 3.54, 4 Ac 3.86
2 Sm 0.0000 0.0000 0.2101  8 Cd 3.28-3.30
3 Sm 0.0000 0.0000 0.4036  8 Cd 3.31-3.32
4 Sm 0.0000 0.0000 0.5964  8 Cd 3.31-3.32
5 Sm 0.0000 0.0000 0.7899  8 Cd 3.28-3.30
6 Cd 0.5000 0.5000 0.1161  4 Sm 3.28, 4 Ac 3.54
7 Cd 0.5000 0.5000 0.3062  8 Sm 3.30-3.32, 1 Cd 3.68
8 Cd 0.5000 0.5000 0.5000  8 Sm 3.31
9 Cd 0.5000 0.5000 0.6938  8 Sm 3.30-3.32, 1 Cd 3.68
10 Cd 0.5000 0.5000 0.8839  4 Sm 3.28, 4 Ac 3.54

Computed properties:
The total magnetization comes out at 1.5 μB/cell. Its energy of formation is -0.306 eV/atom. As for the symmetry: P4/mmm (123).

7.
Density functional theory data (GGA-PBE) for a relaxed structure of Cd2SiNi.

Unit cell a=3.2546 b=3.8067 c=5.5035 alpha=90.00 beta=90.00 gamma=90.00
Last column: nearest neighbours and their distance in Å.
Atoms (fractional coordinates):
1 Cd 0.0000 0.0000 0.0074  2 Cd 2.67-2.83, 4 Ni 2.84, 4 Si 2.88
2 Cd 0.0000 0.0000 0.4926  2 Cd 2.67-2.83, 4 Ni 2.84, 4 Si 2.88
3 Ni 0.5000 0.5000 0.2500  2 Si 2.75, 8 Cd 2.84
4 Si 0.5000 0.5000 0.7500  2 Ni 2.75, 8 Cd 2.88

Computed properties:
The total magnetization comes out at 0.0 μB/cell. As for the symmetry: Pmmm (47). Its raw formation energy is 0.254 eV/atom.

8.
Density functional theory data (GGA-PBE) for a relaxed structure of InPSe2Br.

Unit cell a=5.3580 b=5.3580 c=5.2925 alpha=90.00 beta=90.00 gamma=90.00
Last column: nearest neighbours and their distance in Å.
Atoms (fractional coordinates):
1 P 0.5000 0.5000 0.5000  8 Se 3.77, 4 Br 3.79
2 Se 0.0000 0.5000 0.0000  2 In 2.68
3 Se 0.5000 0.0000 0.0000  2 In 2.68
4 Br 0.0000 0.0000 0.5000  2 In 2.65
5 In 0.0000 0.0000 0.0000  2 Br 2.65, 4 Se 2.68

Computed properties:
The total magnetization comes out at 1.0 μB/cell. As for the symmetry: P4/mmm (123). Its raw formation energy is 0.681 eV/atom.

9.
Density functional theory data (GGA-PBE) for a relaxed structure of CrCuHg2.

Unit cell a=4.4024 b=4.4024 c=3.7153 alpha=90.01 beta=90.01 gamma=90.03
Last column: nearest neighbours and their distance in Å.
Atoms (fractional coordinates):
1 Cr 0.5000 0.0000 0.5000  8 Hg 2.88, 4 Cu 3.11
2 Cu 0.0000 0.5000 0.5000  8 Hg 2.88, 4 Cr 3.11
3 Hg 0.0000 0.0000 0.0000  4 Cr 2.88, 4 Cu 2.88, 4 Hg 3.11
4 Hg 0.5000 0.5000 0.0000  4 Cu 2.88, 4 Cr 2.88, 4 Hg 3.11

Computed properties:
The total magnetization comes out at 3.8 μB/cell. Its energy of formation is 0.353 eV/atom. As for the symmetry: P4/mmm (123).

10.
Density functional theory data (GGA-PBE) for a relaxed structure of Rb3La3BiO8.

Unit cell a=7.3791 b=7.3793 c=7.9122 alpha=117.81 beta=90.00 gamma=120.00
Last column: nearest neighbours and their distance in Å.
Atoms (fractional coordinates):
1 Rb 0.0000 0.0000 0.0000  6 O 3.00-3.05
2 Rb 0.0000 0.5000 0.0000  6 O 3.00-3.05
3 Rb 0.5000 0.5000 0.0000  6 O 3.00-3.05
4 La 0.5000 0.0000 0.5000  6 O 2.42-2.48
5 La 0.5000 0.5000 0.5000  6 O 2.42-2.48
6 La 0.0000 0.5000 0.5000  6 O 2.42-2.48
7 Bi 0.0000 0.0000 0.5000  6 O 2.32
8 O 0.2755 0.5511 0.3267  3 La 2.42
9 O 0.7245 0.4489 0.6733  3 La 2.42
10 O 0.7848 0.5696 0.3256  1 Bi 2.32, 2 La 2.48
11 O 0.2152 0.4304 0.6744  1 Bi 2.32, 2 La 2.48
12 O 0.7848 0.0408 0.3256  1 Bi 2.32, 2 La 2.48
13 O 0.2152 0.9592 0.6744  1 Bi 2.32, 2 La 2.48
14 O 0.2560 0.0408 0.3256  1 Bi 2.32, 2 La 2.48
15 O 0.7440 0.9592 0.6744  1 Bi 2.32, 2 La 2.48

Computed properties:
The total magnetization comes out at 0.0 μB/cell. As for the symmetry: R-3m (166). Its raw formation energy is -2.316 eV/atom.

11.
Density functional theory data (GGA-PBE) for a relaxed structure of PmNdTm2Se6.

Unit cell a=7.2903 b=7.2903 c=7.7150 alpha=61.80 beta=61.80 gamma=60.00
Last column: nearest neighbours and their distance in Å.
Atoms (fractional coordinates):
1 Pm 0.8132 0.8132 0.5603  6 Se 2.92-3.00
2 Nd 0.3121 0.3120 0.0638  6 Se 2.94-3.02
3 Tm 0.5125 0.5124 0.4628  6 Se 2.81-2.86
4 Tm 0.0130 0.0131 0.9609  6 Se 2.81-2.86
5 Se 0.6307 0.2316 0.2447  2 Tm 2.81-2.86, 1 Nd 2.94, 1 Pm 3.00
6 Se 0.2316 0.8929 0.2447  2 Tm 2.81-2.86, 1 Nd 2.94, 1 Pm 3.00
7 Se 0.8930 0.6307 0.2447  2 Tm 2.81-2.86, 1 Nd 2.94, 1 Pm 3.00
8 Se 0.3963 0.7319 0.7444  2 Tm 2.81-2.86, 1 Pm 2.92, 1 Nd 3.02
9 Se 0.7319 0.1273 0.7444  2 Tm 2.81-2.86, 1 Pm 2.92, 1 Nd 3.02
10 Se 0.1274 0.3964 0.7444  2 Tm 2.81-2.86, 1 Pm 2.92, 1 Nd 3.02

Computed properties:
The total magnetization comes out at 0.0 μB/cell. As for the symmetry: R3 (146). Its raw formation energy is -1.839 eV/atom.

12.
Density functional theory data (GGA-PBE) for a relaxed structure of CaLa2CoSi.

Unit cell a=5.4373 b=5.4373 c=4.5859 alpha=90.00 beta=90.00 gamma=90.00
Last column: nearest neighbours and their distance in Å.
Atoms (fractional coordinates):
1 Ca 0.5000 0.5000 0.5000  8 La 3.56, 4 Si 3.84
2 Co 0.0000 0.0000 0.0000  2 Si 2.29
3 Si 0.0000 0.0000 0.5000  2 Co 2.29
4 La 0.0000 0.5000 0.0000  2 Co 2.72
5 La 0.5000 0.0000 0.0000  2 Co 2.72

Computed properties:
The total magnetization comes out at 0.0 μB/cell. As for the symmetry: P4/mmm (123). Its raw formation energy is -0.172 eV/atom.